1.
Entry from the Alexandria database: a relaxed YBePb crystal (PBE-GGA).

Distance to the lowest polymorph of the same formula (kJ per mole of atoms): 30.2
Theoretical density (g/cm3): 7.37
VASP energy (eV per cell): -13.6
DFT formation energy (eV/atom): 0.095

a b c (Å): 6.294 6.054 3.539
angles (deg): 77.11 69.66 33.24
Atoms (fractional coordinates):
Y 0.000 0.000 0.000
Be 0.664 0.664 0.336
Pb 0.288 0.288 0.712


2.
Entry from the Alexandria database: a relaxed CuI2 crystal (PBE-GGA).

Energy relative to the elements, uncorrected (meV/atom): -78.7
Theoretical density (g/cm3): 4.73
VASP energy (eV per cell): -14.9

a b c (Å): 7.175 7.175 8.434
angles (deg): 90.00 90.00 149.16
Atoms (fractional coordinates):
Cu 0.196 0.804 0.750
Cu 0.804 0.196 0.250
I 0.174 0.826 0.250
I 0.432 0.568 0.250
I 0.568 0.432 0.750
I 0.826 0.174 0.750


3.
Entry from the Alexandria database: a relaxed Li6AlIr2 crystal (PBE-GGA).

Theoretical density (g/cm3): 5.64
VASP energy (eV per cell): -34.6
DFT formation energy (eV/atom): -0.185

a b c (Å): 7.475 7.475 2.889
angles (deg): 93.81 93.81 123.37
Atoms (fractional coordinates):
Li 0.001 0.650 0.651
Li 0.181 0.181 0.867
Li 0.350 0.999 0.349
Li 0.650 0.001 0.651
Li 0.819 0.819 0.133
Li 0.999 0.350 0.349
Al 0.500 0.500 0.500
Ir 0.349 0.651 0.000
Ir 0.651 0.349 0.000


4.
Entry from the Alexandria database: a relaxed AlPPt2 crystal (PBE-GGA).

Distance to the lowest polymorph of the same formula (kJ per mole of atoms): 24.4
Theoretical density (g/cm3): 11.71
VASP energy (eV per cell): -22.6
DFT formation energy (eV/atom): -0.337

a b c (Å): 7.693 7.693 7.693
angles (deg): 23.49 23.49 23.49
Atoms (fractional coordinates):
Al 0.000 0.000 0.000
P 0.753 0.753 0.753
Pt 0.255 0.255 0.255
Pt 0.487 0.487 0.487


5.
Entry from the Alexandria database: a relaxed Si2TcOs crystal (PBE-GGA).

Energy relative to the elements, uncorrected (meV/atom): -43.1
Distance to the lowest polymorph of the same formula (kJ per mole of atoms): 35.8
Theoretical density (g/cm3): 10.22
VASP energy (eV per cell): -32.6

a b c (Å): 8.012 8.012 8.012
angles (deg): 20.65 20.65 20.65
Atoms (fractional coordinates):
Si 0.000 0.000 0.000
Si 0.249 0.249 0.249
Tc 0.745 0.745 0.745
Os 0.505 0.505 0.505


6.
Entry from the Alexandria database: a relaxed Tb6TlSi2 crystal (PBE-GGA).

Energy relative to the elements, uncorrected (meV/atom): -503.0
Theoretical density (g/cm3): 8.36
VASP energy (eV per cell): -91.0

a b c (Å): 8.566 8.566 8.566
angles (deg): 112.26 110.62 105.61
Atoms (fractional coordinates):
Tb 0.034 0.240 0.795
Tb 0.185 0.278 0.463
Tb 0.185 0.722 0.907
Tb 0.321 0.024 0.703
Tb 0.321 0.617 0.297
Tb 0.445 0.240 0.205
Tb 0.555 0.760 0.795
Tb 0.679 0.383 0.703
Tb 0.679 0.976 0.297
Tb 0.815 0.278 0.093
Tb 0.815 0.722 0.537
Tb 0.966 0.760 0.205
Tl 0.000 0.000 0.000
Tl 0.500 0.500 0.000
Si 0.115 0.615 0.500
Si 0.370 0.000 0.370
Si 0.630 0.000 0.630
Si 0.885 0.385 0.500


7.
Entry from the Alexandria database: a relaxed In2HgSe crystal (PBE-GGA).

Energy relative to the elements, uncorrected (meV/atom): -180.8
Distance to the lowest polymorph of the same formula (kJ per mole of atoms): 6.6
Theoretical density (g/cm3): 7.26
VASP energy (eV per cell): -10.0

a b c (Å): 5.355 4.281 5.382
angles (deg): 90.00 109.33 90.00
Atoms (fractional coordinates):
In 0.000 0.000 0.000
In 0.265 0.500 0.712
Hg 0.728 0.500 0.253
Se 0.463 0.000 0.496


8.
Entry from the Alexandria database: a relaxed NdSc2Zn2Ge2 crystal (PBE-GGA).

Theoretical density (g/cm3): 5.90
VASP energy (eV per cell): -32.2
DFT formation energy (eV/atom): -0.421

a b c (Å): 9.278 9.278 9.278
angles (deg): 26.84 26.84 26.84
Atoms (fractional coordinates):
Nd 0.000 0.000 0.000
Sc 0.133 0.133 0.133
Sc 0.867 0.867 0.867
Zn 0.407 0.407 0.407
Zn 0.593 0.593 0.593
Ge 0.251 0.251 0.251
Ge 0.749 0.749 0.749